Pr2PtBr, relaxed, DFT PBE-GGA; theoretical density = 7.5 g cm⁻³; distance to the lowest polymorph of the same formula = 21 meV per atom; density of states at the Fermi level = 3.21 states/eV/f.u.; V = 123.5 Å³ per cell
1.0
2.120 1.224 7.927
-2.120 1.224 7.927
0.000 -2.449 7.927
Pr Pt Br
2 1 1
Cartesian
0.000 0.000 0.000
0.000 0.000 4.810
0.000 0.000 14.294
0.000 0.000 10.268